A relaxed structure of HfInCoTc, computed with GGA-PBE.

Geometry as extended XYZ:
```
4
Lattice="0.000 3.199 3.199 3.199 0.000 3.199 3.199 3.199 0.000" Properties=species:S:1:pos:R:3 pbc="T T T"
Hf 0.000 0.000 0.000
In 3.199 3.199 3.199
Co 4.798 4.798 4.798
Tc 1.599 1.599 1.599
```

DFT total energy = -30.598 eV per cell
crystal system = cubic
total moment = 0.65 μB/f.u.
mass density = 11.42 g cm⁻³